This record from the Alexandria database describes an optimized crystal structure of LaTb2Sm6Tm. The functional is PBE.

uncorrected energy = -4.581 eV/atom

Unit cell a=9.255 b=15.239 c=9.656 alpha=90.00 beta=96.62 gamma=90.00
Space group C2/c (No. 15)
Asymmetric unit:
La1 0.000 0.027 0.250
Tb1 0.247 0.449 0.452
Sm1 0.062 0.184 0.944
Sm2 0.099 0.391 0.118
Sm3 0.213 0.225 0.315
Tm1 0.000 0.411 0.750

=====

This record from the Alexandria database describes an optimized crystal structure of La2TbSmTm4. The functional is PBE.

uncorrected energy = -4.229 eV/atom

Unit cell a=13.654 b=13.235 c=6.785 alpha=90.00 beta=119.79 gamma=90.00
Space group C2/c (No. 15)
Asymmetric unit:
La1 0.000 0.000 0.000
La2 0.250 0.250 0.000
Tb1 0.000 0.500 0.000
Sm1 0.250 0.250 0.500
Tm1 0.000 0.253 0.002
Tm2 0.246 0.500 0.495

=====

This record from the Alexandria database describes an optimized crystal structure of La2Tb2Sm2Y. The functional is PBE.

uncorrected energy = -4.978 eV/atom

Unit cell a=11.502 b=5.147 c=8.136 alpha=90.00 beta=98.14 gamma=90.00
Space group C2/m (No. 12)
Asymmetric unit:
La1 0.143 0.000 0.426
Tb1 0.071 0.500 0.717
Sm1 0.215 0.500 0.140
Y1 0.000 0.000 0.000

=====

This record from the Alexandria database describes an optimized crystal structure of LaTb6Sm3Y2. The functional is PBE.

uncorrected energy = -4.965 eV/atom

Unit cell a=6.229 b=10.784 c=11.928 alpha=90.00 beta=99.99 gamma=90.00
Space group C2/m (No. 12)
Asymmetric unit:
La1 0.000 0.000 0.000
Tb1 0.249 0.333 0.749
Tb2 0.250 0.000 0.749
Sm1 0.000 0.167 0.500
Sm2 0.000 0.500 0.500
Y1 0.000 0.333 0.000

=====

This record from the Alexandria database describes an optimized crystal structure of La5TbSm2Y. The functional is PBE.

uncorrected energy = -4.739 eV/atom

Unit cell a=8.828 b=8.828 c=16.539 alpha=90.00 beta=90.00 gamma=90.00
Space group I4/mcm (No. 140)
Asymmetric unit:
La1 0.000 0.000 0.000
La2 0.215 0.285 0.142
Tb1 0.000 0.000 0.250
Sm1 0.119 0.381 0.500
Y1 0.000 0.500 0.250

=====

This record from the Alexandria database describes an optimized crystal structure of La2TbSm5Y. The functional is PBE.

uncorrected energy = -4.816 eV/atom

Unit cell a=5.725 b=20.317 c=10.795 alpha=90.00 beta=90.00 gamma=90.00
Space group Cmc2_1 (No. 36)
Asymmetric unit:
La1 0.000 0.114 0.000
La2 0.000 0.117 0.585
Tb1 0.000 0.201 0.277
Sm1 0.000 0.016 0.289
Sm2 0.000 0.279 0.577
Sm3 0.000 0.298 0.972
Sm4 0.000 0.388 0.289
Sm5 0.000 0.481 0.009
Y1 0.000 0.409 0.728

=====

This record from the Alexandria database describes an optimized crystal structure of La2TbSm2Y2. The functional is PBE.

uncorrected energy = -5.239 eV/atom

Unit cell a=11.520 b=5.159 c=8.120 alpha=90.00 beta=98.32 gamma=90.00
Space group C2/m (No. 12)
Asymmetric unit:
La1 0.142 0.000 0.427
Tb1 0.000 0.000 0.000
Sm1 0.070 0.500 0.718
Y1 0.215 0.500 0.138

=====

This record from the Alexandria database describes an optimized crystal structure of La2Tb4Sm2Y. The functional is PBE.

uncorrected energy = -4.916 eV/atom

Unit cell a=18.944 b=3.653 c=9.696 alpha=90.00 beta=115.74 gamma=90.00
Space group C2/m (No. 12)
Asymmetric unit:
La1 0.166 0.000 0.000
Tb1 0.020 0.000 0.335
Tb2 0.185 0.500 0.337
Sm1 0.147 0.500 0.663
Y1 0.000 0.500 0.000

=====

Energy of formation? In order: 1.17; 3.26; 0.17; 0.21; 2.51; 1.20; 0.18; 0.04 eV/f.u..